Entry 1:
Ca2HfAlC (PBEsol, relaxed); DOS(E_F) = 5.9 states/eV per cell; ΔH_f (0 K) = 1.112 eV/atom; total moment = 0.0002 μB per atom
1.0
-2.102 -3.327 0.908
0.676 -1.959 -5.615
5.066 -2.770 1.577
C Ca Hf Al
1 2 1 1
Direct
0.500 0.000 0.000
0.000 0.000 0.500
0.000 0.500 0.000
0.000 0.000 0.000
0.500 0.500 0.500


Entry 2:
CsHg3Pt (PBEsol, relaxed); DOS(E_F) = 10.3 states/eV per cell; ΔH_f (0 K) = 1.198 eV/atom; total moment = 0.2011 μB per atom; excess energy over the best structure of this formula in the dataset = 1467.8 meV/atom
1.0
6.653 0.000 0.000
0.000 6.653 0.000
0.000 0.000 6.653
Cs Hg Pt
1 3 1
Direct
0.000 0.000 0.000
0.000 0.500 0.000
0.000 0.000 0.500
0.500 0.000 0.000
0.500 0.500 0.500


Entry 3:
YSc2Hg (PBEsol, relaxed); DOS(E_F) = 4.2 states/eV per cell; ΔH_f (0 K) = -0.285 eV/atom; total moment = 0.0001 μB per atom
1.0
3.552 0.000 0.000
0.000 5.043 0.000
-1.776 -2.522 5.380
Y Sc Hg
1 2 1
Direct
0.000 0.500 0.000
0.777 0.777 0.555
0.223 0.223 0.445
0.500 0.000 0.000


Entry 4:
NiBr2O (PBEsol, relaxed); E_form (uncorrected) = 3.08 eV/f.u.; DOS(E_F) = 5.7 states/eV per cell; total moment = 0.0650 μB per atom
1.0
-0.827 3.419 2.569
1.441 0.035 4.110
3.227 2.688 1.154
Ni O Br
1 1 2
Direct
0.500 0.500 0.500
0.000 0.000 0.000
0.250 0.250 0.250
0.750 0.750 0.750


Entry 5:
MgTl5 (PBEsol, relaxed); DOS(E_F) = 3.4 states/eV per cell; ΔH_f (0 K) = 0.005 eV/atom; total moment = 0.0000 μB per atom
1.0
5.371 0.000 0.000
0.000 5.933 0.000
0.000 -2.967 5.139
Mg Tl
1 5
Direct
0.500 0.000 0.000
0.000 0.327 0.327
0.000 0.673 0.000
0.000 0.000 0.673
0.500 0.333 0.667
0.500 0.667 0.333


Entry 6:
KCSN (PBEsol, relaxed); E_form (uncorrected) = -1.55 eV/f.u.; DOS(E_F) = 0.0 states/eV per cell; total moment = 0.0000 μB per atom; excess energy over the best structure of this formula in the dataset = 13.3 meV/atom
1.0
6.313 0.000 0.000
0.000 7.653 0.000
0.000 0.000 7.718
K C S N
4 4 4 4
Direct
0.250 0.294 0.506
0.750 0.294 0.994
0.750 0.706 0.494
0.250 0.706 0.006
0.750 0.738 0.030
0.250 0.262 0.970
0.250 0.738 0.470
0.750 0.262 0.530
0.750 0.885 0.878
0.750 0.115 0.378
0.250 0.885 0.622
0.250 0.115 0.122
0.750 0.372 0.639
0.750 0.628 0.139
0.250 0.372 0.861
0.250 0.628 0.361


Entry 7:
SrAcIn2 (PBEsol, relaxed); DOS(E_F) = 3.4 states/eV per cell; ΔH_f (0 K) = -0.443 eV/atom; total moment = 0.0001 μB per atom
1.0
-5.356 0.588 -1.813
-4.128 -3.201 2.244
-3.905 2.363 3.389
Sr Ac In
1 1 2
Direct
0.500 0.500 0.500
0.000 0.000 0.000
0.750 0.750 0.750
0.250 0.250 0.250


Entry 8:
Na3NiAsCO7 (PBEsol, relaxed); E_form (uncorrected) = -19.29 eV/f.u.; total moment = 0.1551 μB per atom
1.0
-3.726 2.357 -2.675
2.910 -1.902 -5.728
-4.720 -7.668 0.148
Na Ni As C O
6 2 2 2 14
Direct
0.230 0.250 0.581
0.770 0.750 0.419
0.748 0.004 0.763
0.748 0.496 0.763
0.252 0.504 0.237
0.252 0.996 0.237
0.219 0.750 0.839
0.781 0.250 0.161
0.293 0.250 0.918
0.707 0.750 0.082
0.280 0.750 0.560
0.720 0.250 0.440
0.701 0.250 0.582
0.299 0.750 0.418
0.055 0.750 0.622
0.945 0.250 0.378
0.485 0.750 0.646
0.515 0.250 0.354
0.623 0.250 0.954
0.377 0.750 0.046
0.859 0.750 0.916
0.141 0.250 0.084
0.218 0.051 0.804
0.218 0.449 0.804
0.782 0.551 0.196
0.782 0.949 0.196


Entry 9:
SrBe3Rh (PBEsol, relaxed); DOS(E_F) = 2.1 states/eV per cell; ΔH_f (0 K) = -0.061 eV/atom; total moment = 0.0000 μB per atom
1.0
4.345 0.000 0.000
0.000 4.345 0.000
0.000 0.000 4.345
Sr Rh Be
1 1 3
Direct
0.500 0.500 0.500
0.000 0.000 0.000
0.000 0.500 0.000
0.000 0.000 0.500
0.500 0.000 0.000


Entry 10:
MgInPb2 (PBEsol, relaxed); DOS(E_F) = 2.0 states/eV per cell; ΔH_f (0 K) = 0.009 eV/atom; total moment = 0.0000 μB per atom
1.0
3.626 0.000 0.000
0.000 5.568 0.000
-1.813 -2.784 5.343
Pb Mg In
2 1 1
Direct
0.742 0.742 0.484
0.258 0.258 0.516
0.000 0.500 0.000
0.500 0.000 0.000


Entry 11:
Tl2TcW (PBEsol, relaxed); DOS(E_F) = 3.0 states/eV per cell; ΔH_f (0 K) = 0.623 eV/atom; total moment = 0.0000 μB per atom; excess energy over the best structure of this formula in the dataset = 89.5 meV/atom
1.0
2.964 -0.019 0.000
-1.202 2.709 0.000
0.000 0.000 10.132
Tc Tl W
1 2 1
Direct
0.500 0.500 0.282
0.000 0.000 0.030
0.500 0.500 0.725
0.000 0.000 0.464


Entry 12:
ScAl2Ru (PBEsol, relaxed); DOS(E_F) = 2.8 states/eV per cell; ΔH_f (0 K) = -0.344 eV/atom; total moment = 0.0001 μB per atom
1.0
-1.913 -2.354 0.667
2.528 -1.012 3.679
-3.176 2.980 1.408
Sc Ru Al
1 1 2
Direct
0.500 0.500 0.500
0.500 0.000 0.000
0.000 0.500 0.000
0.000 0.000 0.500


Entry 13:
SrLi (PBEsol, relaxed); DOS(E_F) = 3.2 states/eV per cell; ΔH_f (0 K) = 0.030 eV/atom; total moment = 0.0001 μB per atom; excess energy over the best structure of this formula in the dataset = 3.0 meV/atom
1.0
-0.597 -1.843 -4.106
5.007 -0.940 -0.306
-0.621 -4.869 4.785
Sr Li
2 2
Direct
0.148 0.750 0.295
0.852 0.250 0.705
0.434 0.750 0.869
0.566 0.250 0.131


Entry 14:
TeP2IrPt (PBEsol, relaxed); E_form (uncorrected) = 9.84 eV/f.u.; DOS(E_F) = 6.0 states/eV per cell; total moment = 0.0001 μB per atom
1.0
4.782 0.000 0.000
0.000 4.855 0.000
0.000 0.000 4.855
P Ir Te Pt
2 1 1 1
Direct
0.000 0.000 0.500
0.000 0.500 0.000
0.500 0.000 0.000
0.000 0.000 0.000
0.500 0.500 0.500


Entry 15:
NiPtSe2N (PBEsol, relaxed); E_form (uncorrected) = 4.38 eV/f.u.; DOS(E_F) = 5.7 states/eV per cell; total moment = 0.1682 μB per atom
1.0
-3.568 -0.068 0.141
-0.059 -3.839 -3.331
0.216 -3.330 3.835
Ni Se Pt N
1 2 1 1
Direct
0.500 0.500 0.500
0.000 0.000 0.500
0.000 0.500 0.000
0.000 0.000 0.000
0.500 0.000 0.000


Entry 16:
Te2AsPb (PBEsol, relaxed); E_form (uncorrected) = 0.29 eV/f.u.; DOS(E_F) = 1.7 states/eV per cell; total moment = 0.0000 μB per atom; excess energy over the best structure of this formula in the dataset = 78.7 meV/atom
1.0
-3.433 0.893 1.300
-2.895 0.358 -2.401
-4.196 -9.178 0.717
Pb As Te
1 1 2
Direct
0.000 0.000 0.000
0.500 0.500 0.500
0.894 0.894 0.318
0.106 0.106 0.682


Entry 17:
Ag2Pt7 (PBEsol, relaxed); DOS(E_F) = 10.6 states/eV per cell; ΔH_f (0 K) = 0.015 eV/atom; total moment = 0.0000 μB per atom
1.0
-0.322 2.758 3.894
-1.894 -4.392 0.016
5.976 -2.569 2.314
Pt Ag
7 2
Direct
0.000 0.000 0.000
0.330 0.330 0.667
0.000 0.670 0.667
0.670 0.000 0.667
0.000 0.330 0.333
0.670 0.670 0.333
0.330 0.000 0.333
0.667 0.333 0.000
0.333 0.667 0.000


Entry 18:
Cs2MgFeC6N6 (PBEsol, relaxed); E_form (uncorrected) = -5.43 eV/f.u.; DOS(E_F) = 0.0 states/eV per cell; total moment = 0.0005 μB per atom
1.0
7.309 0.000 0.000
3.655 6.330 0.000
3.655 2.110 5.968
Cs C Mg Fe N
2 6 1 1 6
Direct
0.250 0.250 0.250
0.750 0.750 0.750
0.179 0.821 0.179
0.179 0.821 0.821
0.821 0.179 0.821
0.179 0.179 0.821
0.821 0.179 0.179
0.821 0.821 0.179
0.500 0.500 0.500
0.000 0.000 0.000
0.293 0.293 0.707
0.707 0.293 0.707
0.293 0.707 0.707
0.293 0.707 0.293
0.707 0.293 0.293
0.707 0.707 0.293


Entry 19:
Ce3Al6Pt4 (PBEsol, relaxed); DOS(E_F) = 62.3 states/eV per cell; ΔH_f (0 K) = -0.930 eV/atom; total moment = 0.0597 μB per atom
1.0
-0.551 -3.833 1.717
13.148 -2.804 -2.043
3.773 6.401 15.498
Ce Al Pt
12 24 16
Direct
0.750 0.426 0.347
0.750 0.926 0.153
0.250 0.574 0.653
0.250 0.074 0.847
0.750 0.200 0.525
0.750 0.700 0.975
0.250 0.800 0.475
0.250 0.300 0.025
0.750 0.128 0.305
0.750 0.628 0.195
0.250 0.872 0.695
0.250 0.372 0.805
0.750 0.472 0.065
0.750 0.972 0.435
0.250 0.528 0.935
0.250 0.028 0.565
0.750 0.445 0.544
0.750 0.945 0.956
0.250 0.555 0.456
0.250 0.055 0.044
0.750 0.246 0.887
0.750 0.746 0.613
0.250 0.754 0.113
0.250 0.254 0.387
0.750 0.233 0.726
0.750 0.733 0.774
0.250 0.767 0.274
0.250 0.267 0.226
0.750 0.170 0.130
0.750 0.670 0.370
0.250 0.830 0.870
0.250 0.330 0.630
0.750 0.043 0.690
0.750 0.543 0.810
0.250 0.957 0.310
0.250 0.457 0.190
0.750 0.424 0.926
0.750 0.924 0.574
0.250 0.576 0.074
0.250 0.076 0.426
0.750 0.418 0.689
0.750 0.918 0.811
0.250 0.582 0.311
0.250 0.082 0.189
0.750 0.349 0.176
0.750 0.849 0.324
0.250 0.651 0.824
0.250 0.151 0.676
0.750 0.125 0.990
0.750 0.625 0.510
0.250 0.875 0.010
0.250 0.375 0.490


Entry 20:
Li7Ir (PBEsol, relaxed); DOS(E_F) = 3.5 states/eV per cell; ΔH_f (0 K) = 0.035 eV/atom; total moment = 0.0000 μB per atom
1.0
5.478 0.000 0.000
2.739 4.744 0.000
2.739 1.581 4.472
Ir Li
1 7
Direct
0.000 0.000 0.000
0.000 0.000 0.500
0.000 0.500 0.000
0.500 0.000 0.000
0.500 0.500 0.000
0.500 0.000 0.500
0.000 0.500 0.500
0.500 0.500 0.500


Entry 21:
AlHg2Pt (PBEsol, relaxed); DOS(E_F) = 0.9 states/eV per cell; ΔH_f (0 K) = -0.055 eV/atom; total moment = 0.0000 μB per atom
1.0
-1.124 -3.831 1.182
3.670 -1.478 -1.299
0.297 3.326 3.728
Hg Pt Al
2 1 1
Direct
0.000 0.000 0.000
0.750 0.250 0.500
0.500 0.500 0.000
0.250 0.750 0.500


Entry 22:
BeReSi2 (PBEsol, relaxed); E_form (uncorrected) = 0.45 eV/f.u.; DOS(E_F) = 1.3 states/eV per cell; total moment = 0.0000 μB per atom
1.0
3.143 0.000 0.000
0.000 3.869 0.000
0.000 0.000 3.939
Re Si Be
1 2 1
Direct
0.000 0.500 0.500
0.000 0.000 0.000
0.500 0.000 0.500
0.500 0.500 0.000


Entry 23:
ZrPtCl2 (PBEsol, relaxed); E_form (uncorrected) = -4.64 eV/f.u.; total moment = 0.0000 μB per atom; excess energy over the best structure of this formula in the dataset = 0.0 meV/atom
1.0
3.355 0.000 0.000
0.000 3.609 0.000
0.000 -1.805 7.320
Zr Pt Cl
1 1 2
Direct
0.500 0.345 0.690
0.000 0.924 0.848
0.000 0.214 0.427
0.500 0.521 0.041


Entry 24:
BaCa2Cd2 (PBEsol, relaxed); DOS(E_F) = 4.1 states/eV per cell; ΔH_f (0 K) = -0.072 eV/atom; total moment = 0.0000 μB per atom; excess energy over the best structure of this formula in the dataset = 156.0 meV/atom
1.0
5.733 0.000 0.000
0.000 5.733 0.000
-2.867 -2.867 5.623
Ca Ba Cd
2 1 2
Direct
0.346 0.346 0.692
0.654 0.654 0.308
0.000 0.000 0.000
0.250 0.750 0.500
0.750 0.250 0.500